Record 1
The following is a DFT calculation (GGA-PBE) of a geometry-optimized Mg4Si3 structure.

Results
The space group is P1. Its energy above the lowest structure with this stoichiometry is 72 meV/atom. The density of states at the Fermi level is 8.330 states/eV/cell. For the size of the total moment, the calculation gives 0.00 μB/cell.

a = 6.4946 Å, b = 7.9836 Å, c = 11.6451 Å
α = 90.76°, β = 95.27°, γ = 111.55°
Last column: nearest neighbours and their distance in Å.
Fractional coordinates of all 28 atoms:
Mg (0.0000, 0.0000, 0.0000)  5 Si 2.71-2.90, 1 Mg 2.96
Mg (0.0068, 0.1881, 0.2547)  5 Si 2.78-2.88
Mg (0.1392, 0.0308, 0.4888)  5 Si 2.70-2.86
Mg (0.1478, 0.4953, 0.9843)  4 Si 2.69-2.95
Mg (0.1981, 0.5166, 0.4884)  4 Si 2.74-2.92, 1 Mg 3.01
Mg (0.3547, 0.2300, 0.8660)  3 Si 2.78-2.82, 3 Mg 2.96-3.09
Mg (0.3859, 0.5965, 0.2461)  5 Si 2.70-2.82
Mg (0.4210, 0.0254, 0.2582)  5 Si 2.71-2.99
Mg (0.4515, 0.6222, 0.7623)  4 Si 2.89-3.09, 3 Mg 3.17-3.23
Mg (0.4929, 0.8974, 0.0139)  5 Si 2.70-2.92
Mg (0.5660, 0.0363, 0.7088)  4 Si 2.71-2.95
Mg (0.6953, 0.5667, 0.9986)  4 Si 2.80-2.89, 1 Mg 3.07
Mg (0.7386, 0.6565, 0.5264)  4 Si 2.65-2.96
Mg (0.7559, 0.2087, 0.4828)  4 Si 2.74-2.92, 1 Mg 3.01
Mg (0.8341, 0.5072, 0.2837)  4 Si 2.74-2.91
Mg (0.8708, 0.4660, 0.7478)  5 Si 2.76-2.95
Si (0.0930, 0.2567, 0.6691)  2 Si 2.47
Si (0.1042, 0.7374, 0.1397)  1 Si 2.44, 2 Mg 2.70-2.71
Si (0.1487, 0.8028, 0.8469)  2 Si 2.46-2.50, 1 Mg 2.70
Si (0.1676, 0.7770, 0.6340)  2 Si 2.50-2.52, 4 Mg 2.70-2.76
Si (0.3426, 0.2969, 0.1033)  1 Si 2.39
Si (0.4325, 0.3266, 0.3867)  1 Si 2.55, 7 Mg 2.76-2.86
Si (0.4706, 0.3402, 0.6073)  2 Si 2.47-2.55, 1 Mg 2.73
Si (0.6812, 0.2424, 0.1051)  2 Si 2.39
Si (0.7184, 0.8919, 0.3720)  1 Si 2.43, 1 Mg 2.65
Si (0.7746, 0.2122, 0.9139)  1 Si 2.39
Si (0.7958, 0.8258, 0.1803)  2 Si 2.43-2.44, 1 Mg 2.71
Si (0.9380, 0.9359, 0.7161)  3 Si 2.46-2.52

=====

Record 2
The following is a DFT calculation (GGA-PBE) of a geometry-optimized TbPm2Pr2Y4 structure.

Results
The space group is C2/m. The density of states at the Fermi level is 12.828 states/eV/cell. The energy of formation from the pure elements comes out at 0.00 eV per atom. For the size of the total moment, the calculation gives 0.00 μB/cell.

a = 9.6512 Å, b = 9.6512 Å, c = 9.7113 Å
α = 115.23°, β = 115.23°, γ = 21.82°
Last column: nearest neighbours and their distance in Å.
Fractional coordinates of all 9 atoms:
Tb (0.0000, 0.0000, 0.0000)  6 Y 3.59-3.60, 4 Pr 3.62, 2 Tb 3.65
Pm (0.1474, 0.1474, 0.6633)  7 Y 3.55-3.67, 3 Pr 3.63-3.64, 2 Pm 3.65
Pm (0.8526, 0.8526, 0.3367)  7 Y 3.55-3.67, 3 Pr 3.63-3.64, 2 Pm 3.65
Pr (0.3350, 0.3350, 0.0002)  3 Y 3.58-3.61, 2 Tb 3.62, 3 Pm 3.63-3.64, 4 Pr 3.65-3.70
Pr (0.6650, 0.6650, 0.9998)  3 Y 3.58-3.61, 2 Tb 3.62, 3 Pm 3.63-3.64, 4 Pr 3.65-3.70
Y (0.1850, 0.1850, 0.3353)  3 Pm 3.55-3.66, 6 Y 3.58-3.65, 1 Tb 3.60, 2 Pr 3.61
Y (0.4806, 0.4806, 0.6672)  4 Pm 3.57-3.67, 1 Pr 3.58, 2 Tb 3.59, 5 Y 3.62-3.65
Y (0.5194, 0.5194, 0.3328)  4 Pm 3.57-3.67, 1 Pr 3.58, 2 Tb 3.59, 5 Y 3.62-3.65
Y (0.8150, 0.8150, 0.6647)  3 Pm 3.55-3.66, 6 Y 3.58-3.65, 1 Tb 3.60, 2 Pr 3.61

=====

Record 3
The following is a DFT calculation (GGA-PBE) of a geometry-optimized Tb2TeRh structure.

Results
The space group is R-3m. Its energy above the lowest structure with this stoichiometry is 25 meV/atom. The density of states at the Fermi level is 2.702 states/eV/cell. For the size of the total moment, the calculation gives 0.00 μB/cell.

a = 7.6819 Å, b = 7.6819 Å, c = 7.6819 Å
α = 31.05°, β = 31.05°, γ = 31.05°
Last column: nearest neighbours and their distance in Å.
Fractional coordinates of all 4 atoms:
Tb (0.2367, 0.2367, 0.2367)  3 Rh 2.83
Tb (0.7633, 0.7633, 0.7633)  3 Rh 2.83
Te (0.0000, 0.0000, 0.0000)  6 Tb 3.18
Rh (0.5000, 0.5000, 0.5000)  6 Tb 2.83

=====

Record 4
The following is a DFT calculation (GGA-PBE) of a geometry-optimized Mg2ScSn structure.

Results
The space group is R-3m. The density of states at the Fermi level is 4.324 states/eV/cell. The energy of formation from the pure elements comes out at 0.17 eV per atom. For the size of the total moment, the calculation gives 0.19 μB/cell.

a = 11.3004 Å, b = 11.3004 Å, c = 11.3004 Å
α = 16.45°, β = 16.45°, γ = 16.45°
Last column: nearest neighbours and their distance in Å.
Fractional coordinates of all 4 atoms:
Mg (0.0911, 0.0911, 0.0911)  1 Sc 3.05, 3 Sn 3.14, 6 Mg 3.23
Mg (0.9089, 0.9089, 0.9089)  1 Sc 3.05, 3 Sn 3.14, 6 Mg 3.23
Sc (0.0000, 0.0000, 0.0000)  2 Mg 3.05, 6 Sc 3.23
Sn (0.5000, 0.5000, 0.5000)  6 Mg 3.14, 6 Sn 3.23

=====

Record 5
The following is a DFT calculation (GGA-PBE) of a geometry-optimized Sr2MgGaO structure.

Results
The space group is P4/mmm. Its energy above the lowest structure with this stoichiometry is 1408 meV/atom. The density of states at the Fermi level is 5.597 states/eV/cell. For the size of the total moment, the calculation gives 0.76 μB/cell.

a = 6.1287 Å, b = 6.1287 Å, c = 4.6853 Å
α = 90.00°, β = 90.00°, γ = 90.00°
Last column: nearest neighbours and their distance in Å.
Fractional coordinates of all 5 atoms:
Sr (0.0000, 0.5000, 0.0000)  2 Mg 3.06
Sr (0.5000, 0.0000, 0.0000)  2 Mg 3.06
Mg (0.0000, 0.0000, 0.0000)  2 Ga 2.34
Ga (0.0000, 0.0000, 0.5000)  2 Mg 2.34
O (0.5000, 0.5000, 0.5000)  8 Sr 3.86

=====

Record 6
The following is a DFT calculation (GGA-PBE) of a geometry-optimized LiRuRh structure.

Results
The space group is Cc. Its energy above the lowest structure with this stoichiometry is 14 meV/atom. The density of states at the Fermi level is 4.282 states/eV/cell. The energy of formation from the pure elements comes out at 0.04 eV per atom. For the size of the total moment, the calculation gives 0.00 μB/cell.

a = 4.6328 Å, b = 4.6328 Å, c = 5.0733 Å
α = 116.98°, β = 116.98°, γ = 59.17°
Last column: nearest neighbours and their distance in Å.
Fractional coordinates of all 6 atoms:
Li (0.0849, 0.9151, 0.5000)  5 Rh 2.64-2.67, 5 Ru 2.65-2.69, 2 Li 2.65
Li (0.9151, 0.0849, 0.0000)  5 Rh 2.64-2.67, 5 Ru 2.65-2.69, 2 Li 2.65
Ru (0.5834, 0.7527, 0.0061)  5 Rh 2.63-2.70, 5 Li 2.65-2.69, 2 Ru 2.65
Ru (0.7527, 0.5834, 0.5061)  5 Rh 2.63-2.70, 5 Li 2.65-2.69, 2 Ru 2.65
Rh (0.2502, 0.4142, 0.0021)  5 Ru 2.63-2.70, 5 Li 2.64-2.67, 2 Rh 2.65
Rh (0.4142, 0.2502, 0.5021)  5 Ru 2.63-2.70, 5 Li 2.64-2.67, 2 Rh 2.65

=====

Record 7
The following is a DFT calculation (GGA-PBE) of a geometry-optimized CaCu2W structure.

Results
The space group is R-3m. Its energy above the lowest structure with this stoichiometry is 274 meV/atom. The density of states at the Fermi level is 3.887 states/eV/cell. The energy of formation from the pure elements comes out at 0.67 eV per atom. For the size of the total moment, the calculation gives 0.00 μB/cell.

a = 9.3691 Å, b = 9.3691 Å, c = 9.3691 Å
α = 17.83°, β = 17.83°, γ = 17.83°
Last column: nearest neighbours and their distance in Å.
Fractional coordinates of all 4 atoms:
Ca (0.0000, 0.0000, 0.0000)  6 Ca 2.90, 6 Cu 3.00
Cu (0.2434, 0.2434, 0.2434)  3 W 2.70, 6 Cu 2.90, 3 Ca 3.00
Cu (0.7566, 0.7566, 0.7566)  3 W 2.70, 6 Cu 2.90, 3 Ca 3.00
W (0.5000, 0.5000, 0.5000)  6 Cu 2.70, 6 W 2.90

=====

Record 8
The following is a DFT calculation (GGA-PBE) of a geometry-optimized BaHgSe2 structure.

Results
The space group is R-3m. The density of states at the Fermi level is 3.704 states/eV/cell. For the uncorrected energy, the calculation gives -2.51 eV/atom. For the size of the total moment, the calculation gives 0.08 μB/cell.

a = 9.3998 Å, b = 9.3998 Å, c = 9.3998 Å
α = 26.51°, β = 26.51°, γ = 26.51°
Last column: nearest neighbours and their distance in Å.
Fractional coordinates of all 4 atoms:
Ba (0.0000, 0.0000, 0.0000)  2 Se 3.08
Hg (0.5000, 0.5000, 0.5000)  6 Se 2.88
Se (0.1132, 0.1132, 0.1132)  3 Hg 2.88, 1 Ba 3.08
Se (0.8868, 0.8868, 0.8868)  3 Hg 2.88, 1 Ba 3.08